# KCe2Te4 (PBE, optimized geometry)
data_KCe2Te4
_chemical_formula_sum 'K2 Ce4 Te8'
_cell_length_a 9.551
_cell_length_b 9.551
_cell_length_c 9.551
_cell_angle_alpha 119.92
_cell_angle_beta 119.92
_cell_angle_gamma 90.15
_symmetry_space_group_name_H-M 'P 1'
_symmetry_Int_Tables_number 1
loop_
_symmetry_equiv_pos_as_xyz
'x,y,z'
loop_
_atom_site_label
_atom_site_type_symbol
_atom_site_fract_x
_atom_site_fract_y
_atom_site_fract_z
K1 K 0.375 0.625 0.750
K2 K 0.625 0.375 0.250
Ce1 Ce 0.000 0.000 0.000
Ce2 Ce 0.000 0.000 0.500
Ce3 Ce 0.000 0.500 0.000
Ce4 Ce 0.500 0.000 0.500
Te1 Te 0.197 0.233 0.964
Te2 Te 0.232 0.767 0.464
Te3 Te 0.233 0.197 0.464
Te4 Te 0.233 0.768 0.036
Te5 Te 0.767 0.232 0.964
Te6 Te 0.767 0.803 0.536
Te7 Te 0.768 0.233 0.536
Te8 Te 0.803 0.767 0.036
# space-group type	I4_1/amd, No. 141
# formation energy without anion corrections	-118.45	kJ per mole of atoms
# M_tot	2.04	μB/cell
# uncorrected energy	-4.875	eV per atom